A plane-wave DFT calculation with PBE with a Hubbard U was carried out for an optimized crystal structure of FeTc2F2.

Cell lengths 3.3497, 3.3497, 6.1036 Å; angles 74.07, 74.07, 90.00 degrees
Last column: magnetic moment on the atom in μB.
Fractional coordinates of all 5 atoms:
F 0.2500 0.7500 0.5000  -0.01
Fe 0.0000 0.0000 0.0000  3.48
Tc 0.3959 0.3959 0.2083  0.05
Tc 0.6041 0.6041 0.7917  0.05
F 0.7500 0.2500 0.5000  -0.01

Calculated values
For the magnetic moment, the calculation gives 3.544 μB/cell. As for the polymorph energy (0 for the lowest one): 0.000 eV/atom. The density of states at the Fermi level is 3.3 states/eV per cell. The space group is I4/mmm.